1.
VASP calculation (GGA-PBE) on a relaxed structure of Cs2SmF6.

Space-group type: C2/m, No. 12
Magnetization: 1.069 μB/cell
Raw total energy: -5.002 eV per atom

a = 4.167 Å, b = 7.072 Å, c = 7.825 Å
α = 116.87°, β = 102.42°, γ = 90.00°
Positions (direct):
1 F 0.500 0.181 0.000
2 F 0.863 0.073 0.736
3 F 0.137 0.927 0.264
4 F 0.137 0.337 0.264
5 F 0.500 0.819 0.000
6 F 0.863 0.663 0.736
7 Sm 0.000 0.000 0.000
8 Cs 0.666 0.668 0.335
9 Cs 0.334 0.332 0.665

***

2.
VASP calculation (GGA-PBE) on a relaxed structure of CsSm3F10.

Space-group type: Fm-3m, No. 225
Magnetization: 0.484 μB/cell
Raw total energy: -6.365 eV per atom

a = 8.542 Å, b = 8.542 Å, c = 8.542 Å
α = 60.00°, β = 60.00°, γ = 60.00°
Positions (direct):
1 F 0.173 0.609 0.609
2 F 0.391 0.391 0.391
3 F 0.328 0.672 0.000
4 F 0.000 0.000 0.328
5 F 0.672 0.000 0.000
6 F 0.672 0.000 0.328
7 F 0.000 0.672 0.000
8 F 0.609 0.609 0.173
9 F 0.000 0.672 0.328
10 F 0.000 0.328 0.672
11 F 0.328 0.000 0.000
12 F 0.827 0.391 0.391
13 F 0.328 0.000 0.672
14 F 0.391 0.391 0.827
15 F 0.000 0.328 0.000
16 F 0.609 0.173 0.609
17 F 0.391 0.827 0.391
18 F 0.609 0.609 0.609
19 F 0.000 0.000 0.672
20 F 0.672 0.328 0.000
21 Sm 0.260 0.260 0.740
22 Sm 0.260 0.740 0.740
23 Sm 0.740 0.260 0.740
24 Sm 0.740 0.260 0.260
25 Sm 0.260 0.740 0.260
26 Sm 0.740 0.740 0.260
27 Cs 0.750 0.750 0.750
28 Cs 0.250 0.250 0.250

***

3.
VASP calculation (GGA-PBE) on a relaxed structure of CsSmTl2F6.

Space-group type: R3, No. 146
Magnetization: 0.000 μB/cell
Raw total energy: -5.040 eV per atom

a = 6.947 Å, b = 6.946 Å, c = 7.022 Å
α = 60.31°, β = 60.31°, γ = 59.96°
Positions (direct):
1 F 0.556 0.216 0.236
2 F 0.163 0.395 0.786
3 F 0.991 0.556 0.237
4 F 0.657 0.162 0.786
5 F 0.395 0.656 0.785
6 F 0.216 0.991 0.237
7 Tl 0.534 0.534 0.398
8 Tl 0.030 0.030 0.911
9 Sm 0.317 0.317 0.049
10 Cs 0.803 0.803 0.590

***

4.
VASP calculation (GGA-PBE) on a relaxed structure of CsSmZnF6.

Space-group type: Imma, No. 74
Magnetization: 0.000 μB/cell
Raw total energy: -5.201 eV per atom

a = 7.931 Å, b = 7.595 Å, c = 7.583 Å
α = 120.05°, β = 121.53°, γ = 90.00°
Positions (direct):
1 Zn 0.500 0.500 0.000
2 Zn 0.500 0.000 0.000
3 Cs 0.843 0.593 0.685
4 Cs 0.157 0.407 0.315
5 F 0.824 0.142 0.268
6 F 0.556 0.858 0.732
7 F 0.444 0.142 0.268
8 F 0.141 0.891 0.283
9 F 0.176 0.374 0.732
10 F 0.556 0.374 0.732
11 F 0.444 0.626 0.268
12 F 0.584 0.834 0.167
13 F 0.824 0.626 0.268
14 F 0.416 0.166 0.833
15 F 0.859 0.109 0.717
16 F 0.176 0.858 0.732
17 Sm 0.000 0.000 0.500
18 Sm 0.500 0.000 0.500